Below is crystalline LiSm2IO6 at its relaxed geometry, with properties calculated at the PBE level.

Summary:
* magnetization: 0.0 μB per formula unit
* SG: No. 1
* formation energy (no corrections): -2.09 eV per atom

Cell: 5.8665 5.8670 5.8879 Å, 60.10 60.11 59.94°
Atoms (fractional coordinates):
O  0.1254  0.4308  0.7859
O  0.9383  0.6131  0.2552
O  0.1929  0.9376  0.2556
O  0.6579  0.1256  0.7858
O  0.6132  0.1934  0.2554
O  0.4302  0.6576  0.7860
Sm  0.0274  0.0279  0.9174
Sm  0.5400  0.5398  0.3802
I  0.3172  0.3176  0.0478
Li  0.8191  0.8182  0.5460

=====

Below is crystalline KTlTc at its relaxed geometry, with properties calculated at the PBE level.

Summary:
* offset from the most stable computed form: 236 meV/atom
* magnetization: 1.1 μB per formula unit
* formation energy from the elements: 1.08 eV per atom
* SG: No. 187

Cell: 5.3635 5.3635 2.9002 Å, 90.00 90.00 120.00°
Last column: magnetic moment on the atom in μB.
Atoms (fractional coordinates):
K  0.0000  0.0000  0.0003  0.01
Tl  0.3333  0.6667  0.4994  -0.03
Tc  0.6667  0.3333  0.5003  0.98

=====

Below is crystalline RuPbSe at its relaxed geometry, with properties calculated at the PBE level.

Summary:
* offset from the most stable computed form: 22 meV/atom
* magnetization: 0.0 μB per formula unit
* SG: No. 36
* formation energy (no corrections): -0.03 eV per atom

Cell: 3.5453 14.0716 5.4219 Å, 90.00 90.00 90.00°
Atoms (fractional coordinates):
Pb  0.5000  0.4057  0.8427
Pb  0.5000  0.5943  0.3427
Pb  0.0000  0.9057  0.8427
Pb  0.0000  0.0943  0.3427
Se  0.0000  0.6409  0.8566
Se  0.5000  0.8591  0.3566
Se  0.5000  0.1409  0.8566
Se  0.0000  0.3591  0.3566
Ru  0.0000  0.7573  0.1967
Ru  0.5000  0.7427  0.6967
Ru  0.0000  0.2427  0.6967
Ru  0.5000  0.2573  0.1967

=====

Below is crystalline HfVMo at its relaxed geometry, with properties calculated at the PBE level.

Summary:
* offset from the most stable computed form: 119 meV/atom
* magnetization: 0.0 μB per formula unit
* formation energy from the elements: -0.04 eV per atom
* SG: No. 107

Cell: 3.2036 3.2036 5.4485 Å, 107.10 107.10 90.00°
Atoms (fractional coordinates):
V  0.5978  0.5978  0.1956
Mo  0.9666  0.9666  0.9331
Hf  0.2856  0.2856  0.5713

=====

Below is crystalline K2CdMo at its relaxed geometry, with properties calculated at the PBE level.

Summary:
* magnetization: 3.2 μB per formula unit
* formation energy from the elements: 0.83 eV per atom
* SG: No. 99

Cell: 3.8303 3.8303 10.2112 Å, 90.00 90.00 90.00°
Last column: magnetic moment on the atom in μB.
Atoms (fractional coordinates):
K  0.0000  0.0000  0.9229  0.00
K  0.5000  0.5000  0.3254  0.01
Mo  0.0000  0.0000  0.5817  2.61
Cd  0.5000  0.5000  0.6700  0.01

=====

Below is crystalline CeEr2Tl2Cd2 at its relaxed geometry, with properties calculated at the PBE level.

Summary:
* magnetization: 1.5 μB per formula unit
* formation energy from the elements: -0.12 eV per atom
* SG: No. 166

Cell: 5.0576 5.0576 9.1172 Å, 73.90 73.90 60.00°
Last column: magnetic moment on the atom in μB.
Atoms (fractional coordinates):
Er  0.1337  0.1337  0.5990  0.12
Er  0.8663  0.8663  0.4010  0.12
Tl  0.7324  0.7324  0.8028  0.00
Tl  0.2676  0.2676  0.1972  0.00
Cd  0.5666  0.5666  0.3001  0.00
Cd  0.4334  0.4334  0.6999  0.00
Ce  0.0000  0.0000  0.0000  1.01